Entry 1:
First-principles (PBE) data for crystalline Ca2ZrRu at its relaxed geometry, as listed in Alexandria via LeMat-Bulk.

energy above the most stable polymorph in this dataset = 559 meV per atom
M_tot = 0.0 μB/cell

Cell: 10.344 10.344 7.718 Å, 47.93 47.93 90.00°
Element x y z (fractional)
Ca 0.375 0.238 0.750
Ca 0.875 0.012 0.750
Ca 0.988 0.625 0.250
Ca 0.762 0.125 0.250
Ru 0.750 0.250 0.500
Ru 0.000 0.000 0.000
Zr 0.250 0.750 0.500
Zr 0.500 0.500 0.000



Entry 2:
First-principles (PBE) data for crystalline KPHO3F at its relaxed geometry, as listed in Alexandria via LeMat-Bulk.

E_tot = -332.72 eV per cell
M_tot = 0.3 μB/cell

Cell: 14.301 7.435 7.786 Å, 89.49 90.00 90.00°
Element x y z (fractional)
P 0.660 0.691 0.409
P 0.160 0.309 0.591
P 0.643 0.346 0.887
P 0.398 0.703 0.718
P 0.916 0.945 0.774
P 0.898 0.297 0.282
P 0.143 0.654 0.113
P 0.416 0.055 0.226
O 0.602 0.210 0.767
O 0.951 0.830 0.629
O 0.102 0.790 0.233
O 0.451 0.170 0.371
O 0.359 0.884 0.290
O 0.859 0.116 0.710
O 0.692 0.253 0.046
O 0.233 0.435 0.495
O 0.948 0.447 0.384
O 0.848 0.381 0.130
O 0.448 0.553 0.616
O 0.366 0.147 0.079
O 0.342 0.835 0.610
O 0.566 0.598 0.390
O 0.842 0.165 0.390
O 0.704 0.781 0.257
O 0.866 0.853 0.921
O 0.066 0.402 0.610
O 0.204 0.219 0.743
O 0.192 0.747 0.954
O 0.733 0.565 0.505
O 0.348 0.619 0.870
O 0.702 0.499 0.816
O 0.202 0.501 0.184
H 0.715 0.534 0.633
H 0.257 0.691 0.920
H 0.757 0.309 0.080
H 0.215 0.466 0.367
H 0.002 0.418 0.477
H 0.502 0.582 0.523
H 0.356 0.868 0.423
H 0.856 0.132 0.577
F 0.142 0.154 0.448
F 0.507 0.960 0.144
F 0.007 0.040 0.856
F 0.483 0.819 0.795
F 0.642 0.846 0.552
F 0.055 0.557 0.021
F 0.983 0.181 0.205
F 0.555 0.443 0.979
K 0.903 0.489 0.804
K 0.171 0.129 0.070
K 0.142 0.802 0.587
K 0.400 0.201 0.727
K 0.642 0.198 0.413
K 0.900 0.799 0.273
K 0.671 0.871 0.930
K 0.403 0.511 0.196



Entry 3:
First-principles (PBE) data for crystalline TbNd2CdO at its relaxed geometry, as listed in Alexandria via LeMat-Bulk.

M_tot = 0.0 μB/cell
ΔE_f (raw) = -622 kJ/mol of formula units

Cell: 4.792 5.006 5.006 Å, 90.00 90.00 90.00°
Element x y z (fractional)
O 0.000 0.000 0.000
Tb 0.500 0.000 0.000
Nd 0.000 0.500 0.000
Nd 0.000 0.000 0.500
Cd 0.500 0.500 0.500



Entry 4:
First-principles (PBE) data for crystalline MgReSi2 at its relaxed geometry, as listed in Alexandria via LeMat-Bulk.

M_tot = 0.0 μB/cell
ΔE_f (raw) = 90 kJ/mol of formula units

Cell: 4.432 4.432 3.058 Å, 90.02 90.02 104.05°
Element x y z (fractional)
Re 0.000 0.500 0.500
Si 0.000 0.000 0.000
Si 0.500 0.500 0.000
Mg 0.500 0.000 0.500



Entry 5:
First-principles (PBE) data for crystalline Tb5Ho4Th3 at its relaxed geometry, as listed in Alexandria via LeMat-Bulk.

E_tot = -59.49 eV per cell
M_tot = 0.0 μB/cell

Cell: 5.730 9.314 9.760 Å, 114.12 72.93 72.09°
Element x y z (fractional)
Th 0.454 0.365 0.728
Th 0.000 0.500 0.500
Th 0.546 0.635 0.272
Ho 0.943 0.268 0.846
Ho 0.163 0.872 0.801
Ho 0.057 0.732 0.154
Ho 0.837 0.128 0.199
Tb 0.500 0.500 0.500
Tb 0.657 0.745 0.942
Tb 0.728 0.935 0.608
Tb 0.272 0.065 0.392
Tb 0.343 0.255 0.058



Entry 6:
First-principles (PBE) data for crystalline Li12GaPd6 at its relaxed geometry, as listed in Alexandria via LeMat-Bulk.

E_tot = -63.79 eV per cell
M_tot = 0.0 μB/cell

Cell: 6.686 6.686 6.686 Å, 89.63 89.63 89.63°
Element x y z (fractional)
Li 0.616 0.973 0.854
Li 0.813 0.521 0.421
Li 0.421 0.813 0.521
Li 0.187 0.479 0.579
Li 0.027 0.146 0.384
Li 0.579 0.187 0.479
Li 0.384 0.027 0.146
Li 0.973 0.854 0.616
Li 0.854 0.616 0.973
Li 0.521 0.421 0.813
Li 0.479 0.579 0.187
Li 0.146 0.384 0.027
Pd 0.878 0.265 0.734
Pd 0.735 0.266 0.122
Pd 0.265 0.734 0.878
Pd 0.734 0.878 0.265
Pd 0.122 0.735 0.266
Pd 0.266 0.122 0.735
Ga 0.000 0.000 0.000



Number 1 is which compound?
Ca2ZrRu